Compound: LaPr2WO8
Source: the Alexandria database
Functional: GGA+U
Structure: relaxed

Unit cell a=5.2332 b=5.2343 c=7.2123 alpha=90.00 beta=90.00 gamma=90.66
Closest atoms and distances in Å follow each position.
Atoms (fractional coordinates):
O 0.8221 0.1786 0.2005  1 W 1.96
O 0.3095 0.3091 0.5000  1 La 2.28, 2 Pr 2.32
O 0.2664 0.2654 0.0000  1 W 1.96
O 0.8221 0.1786 0.7995  1 W 1.96
O 0.1779 0.8214 0.2005  1 W 1.96
O 0.6905 0.6909 0.5000  1 La 2.28, 2 Pr 2.32
O 0.7336 0.7346 0.0000  1 W 1.96
O 0.1779 0.8214 0.7995  1 W 1.96
Pr 0.5000 0.5000 0.7567  6 O 2.32-2.46
Pr 0.5000 0.5000 0.2433  6 O 2.32-2.46
La 0.0000 0.0000 0.5000  6 O 2.28-2.54
W 0.0000 0.0000 0.0000  6 O 1.96

Computed properties:
Energy ... -7.848 eV/atom
Total magnetic moment ... 0.075 μB per atom
DOS at the Fermi energy ... 6.01 states/eV/f.u.